P.
Material: Ce3PuAl
Method: DFT, GGA-PBE
State: relaxed

```
20
Lattice="8.190 0.000 0.000 0.000 10.019 0.000 0.000 0.000 6.064" Properties=species:S:1:pos:R:3 pbc="T T T"
Ce 0.465 2.505 0.846
Ce 1.610 0.439 3.575
Ce 1.610 4.571 3.575
Ce 2.484 5.448 0.543
Ce 2.484 9.581 0.543
Ce 3.630 7.514 3.878
Ce 4.560 2.505 2.186
Ce 5.705 0.439 5.521
Ce 5.705 4.571 5.521
Ce 6.579 5.448 2.489
Ce 6.579 9.581 2.489
Ce 7.725 7.514 5.218
Pu 0.000 0.000 0.000
Pu 0.000 5.010 0.000
Pu 4.095 0.000 3.032
Pu 4.095 5.010 3.032
Al 0.734 7.514 2.132
Al 3.361 2.505 5.164
Al 4.829 7.514 0.900
Al 7.456 2.505 3.932
```

Computed properties:
The volume is 24.9 Å³/atom. The total moment comes out at 4.40 μB/f.u. The calculation puts the density of states at the Fermi level at 9.78 states/eV/f.u. Its space group is Pnma, No. 62.

***

Q.
Material: Ce3PuAl
Method: DFT, GGA-PBE
State: relaxed

```
10
Lattice="5.722 0.000 0.000 0.026 6.666 0.000 0.028 1.607 6.546" Properties=species:S:1:pos:R:3 pbc="T T T"
Ce 0.000 0.000 0.000
Ce 0.389 4.139 3.261
Ce 1.192 5.032 5.828
Ce 2.823 5.252 1.878
Ce 3.308 2.738 5.154
Ce 4.949 0.907 2.578
Pu 1.402 7.426 4.532
Pu 4.743 3.284 1.265
Al 2.074 1.882 1.778
Al 4.066 6.033 5.076
```

Computed properties:
The volume is 25.0 Å³/atom. The total moment comes out at 6.08 μB/f.u. The calculation puts the density of states at the Fermi level at 9.50 states/eV/f.u. Its space group is P1, No. 1.

***

Relative energy table, unit meV per atom: P 15; Q 0

***

P.
Material: Ce3PuAl8
Method: DFT, GGA-PBE
State: relaxed

```
12
Lattice="2.796 1.614 9.113 -2.796 1.614 9.113 0.000 -3.228 9.113" Properties=species:S:1:pos:R:3 pbc="T T T"
Ce 0.000 0.000 0.000
Ce 0.000 0.000 3.464
Ce 0.000 0.000 13.789
Pu 0.000 0.000 17.140
Al -1.398 -0.807 10.873
Al 0.000 -1.611 6.321
Al -1.395 0.806 6.321
Al 0.000 0.000 8.590
Al 1.398 -0.807 10.873
Al 1.395 0.806 6.321
Al 0.000 1.614 10.873
Al 0.000 0.000 22.271
```

Computed properties:
The volume is 20.6 Å³/atom. The total moment comes out at 8.25 μB/f.u. The calculation puts the density of states at the Fermi level at 17.97 states/eV/f.u. Its space group is R3m, No. 160.

***

Q.
Material: Ce3PuAl8
Method: DFT, GGA-PBE
State: relaxed

```
12
Lattice="5.679 0.000 0.000 -2.840 4.918 0.000 0.000 0.000 8.786" Properties=species:S:1:pos:R:3 pbc="T T T"
Ce 0.000 0.000 0.000
Ce 0.000 0.000 2.947
Ce 0.000 3.279 7.232
Pu 0.000 3.279 4.411
Al -1.363 2.492 1.465
Al 1.365 0.788 5.834
Al 1.363 2.492 1.465
Al 0.000 4.853 1.465
Al 2.840 1.639 3.664
Al 2.840 1.639 8.039
Al 4.314 0.788 5.834
Al 2.840 3.342 5.834
```

Computed properties:
The volume is 20.5 Å³/atom. The total moment comes out at 7.29 μB/f.u. The calculation puts the density of states at the Fermi level at 16.40 states/eV/f.u. Its space group is P3m1, No. 156.

***

Relative energy table, unit meV per atom: P 0; Q 7

***

P.
Material: Ce6PuAl
Method: DFT, GGA-PBE
State: relaxed

```
16
Lattice="6.243 -2.977 0.000 6.243 2.977 0.000 -2.322 0.000 11.392" Properties=species:S:1:pos:R:3 pbc="T T T"
Ce 3.860 2.505 6.920
Ce 1.190 0.488 7.807
Ce 5.144 2.505 10.168
Ce 2.326 0.455 11.037
Ce 2.351 -0.488 2.111
Ce 3.487 -0.455 5.341
Ce 6.677 0.455 6.051
Ce 7.813 0.488 9.281
Ce 7.838 -0.455 0.355
Ce 5.021 -2.505 1.224
Ce 8.974 -0.488 3.585
Ce 6.304 -2.505 4.472
Pu 1.961 1.489 5.696
Pu 3.121 -1.489 0.000
Al 5.663 0.518 2.848
Al 4.502 -0.518 8.544
```

Computed properties:
The volume is 26.5 Å³/atom. The total moment comes out at 0.00 μB/f.u. The calculation puts the density of states at the Fermi level at 18.28 states/eV/f.u. Its space group is C2/c, No. 15.

***

Q.
Material: Ce6PuAl
Method: DFT, GGA-PBE
State: relaxed

```
8
Lattice="3.989 -4.656 0.000 3.989 4.656 0.000 -1.469 0.000 5.950" Properties=species:S:1:pos:R:3 pbc="T T T"
Ce 2.195 2.900 4.274
Ce 0.914 0.000 5.385
Ce 4.314 2.900 1.676
Ce 2.195 -2.900 4.274
Ce 5.595 0.000 0.565
Ce 4.314 -2.900 1.676
Pu 0.000 0.000 0.000
Al 3.254 0.000 2.975
```

Computed properties:
The volume is 27.6 Å³/atom. The total moment comes out at 0.00 μB/f.u. The calculation puts the density of states at the Fermi level at 15.99 states/eV/f.u. Its space group is C2/m, No. 12.

***

Relative energy table, unit meV per atom: P 0; Q 29

***

P.
Material: Ce4PuAl2
Method: DFT, GGA-PBE
State: relaxed

```
7
Lattice="3.882 -4.825 0.000 3.882 4.825 0.000 0.000 0.000 4.879" Properties=species:S:1:pos:R:3 pbc="T T T"
Ce 1.941 2.412 2.439
Ce 1.435 0.000 0.000
Ce 1.941 -2.412 2.439
Ce 6.329 0.000 0.000
Pu 3.882 0.000 2.439
Al 3.882 1.980 0.000
Al 3.882 -1.980 0.000
```

Computed properties:
The volume is 26.1 Å³/atom. The total moment comes out at 8.35 μB/f.u. The calculation puts the density of states at the Fermi level at 15.33 states/eV/f.u. Its space group is Cmmm, No. 65.

***

Q.
Material: Ce4PuAl2
Method: DFT, GGA-PBE
State: relaxed

```
14
Lattice="5.577 0.000 0.000 0.000 6.482 0.000 -1.756 0.000 9.750" Properties=species:S:1:pos:R:3 pbc="T T T"
Ce 0.702 1.621 0.797
Ce 0.573 4.862 4.083
Ce 0.460 0.002 7.090
Ce 0.460 3.239 7.090
Ce 3.360 6.480 2.660
Ce 3.360 3.243 2.660
Ce 3.248 1.621 5.667
Ce 3.118 4.862 8.953
Pu -1.301 1.621 7.959
Pu 5.122 4.862 1.791
Al 0.489 1.621 4.001
Al 2.071 4.862 0.284
Al 1.749 1.621 9.466
Al 3.332 4.862 5.749
```

Computed properties:
The volume is 25.2 Å³/atom. The total moment comes out at 4.96 μB/f.u. The calculation puts the density of states at the Fermi level at 14.59 states/eV/f.u. Its space group is P2_1/m, No. 11.

***

Relative energy table, unit meV per atom: P 20; Q 0

***

P.
Material: Ce5Pu2Al
Method: DFT, GGA-PBE
State: relaxed

```
16
Lattice="-3.927 3.927 6.630 3.927 -3.927 6.630 3.927 3.927 -6.630" Properties=species:S:1:pos:R:3 pbc="T T T"
Ce 0.000 0.000 0.000
Ce 5.230 1.303 -2.127
Ce 1.303 2.624 -2.127
Ce 5.230 1.303 2.127
Ce 1.303 2.624 2.127
Ce 0.000 0.000 6.630
Ce 2.624 1.303 4.503
Ce -1.303 2.624 4.503
Ce 2.624 1.303 8.756
Ce -1.303 2.624 8.756
Pu 2.764 1.162 0.000
Pu 2.764 -1.162 6.630
Pu 1.162 5.089 0.000
Pu 1.162 2.764 6.630
Al 0.000 0.000 3.315
Al 0.000 0.000 9.945
```

Computed properties:
The volume is 25.6 Å³/atom. The total moment comes out at 13.84 μB/f.u. The calculation puts the density of states at the Fermi level at 17.59 states/eV/f.u. Its space group is I4/mcm, No. 140.

***

Q.
Material: Ce5Pu2Al
Method: DFT, GGA-PBE
State: relaxed

```
8
Lattice="-3.283 3.283 4.593 3.283 -3.283 4.593 3.283 3.283 -4.593" Properties=species:S:1:pos:R:3 pbc="T T T"
Ce 0.000 0.000 0.000
Ce 1.644 1.644 -2.293
Ce 1.639 -1.639 2.300
Ce -1.639 1.639 2.300
Ce 1.639 1.639 2.300
Pu 0.000 3.283 4.593
Pu 3.283 0.000 4.593
Al 0.000 0.000 4.601
```

Computed properties:
The volume is 24.8 Å³/atom. The total moment comes out at 11.35 μB/f.u. The calculation puts the density of states at the Fermi level at 20.38 states/eV/f.u. Its space group is I4mm, No. 107.

***

Relative energy table, unit meV per atom: P 12; Q 0

***

P.
Material: Ce4PuAl
Method: DFT, GGA-PBE
State: relaxed

```
12
Lattice="7.913 -3.014 0.000 7.913 3.014 0.000 -2.309 0.000 6.494" Properties=species:S:1:pos:R:3 pbc="T T T"
Ce 0.553 0.596 3.023
Ce -0.602 -0.596 6.270
Ce 2.917 0.516 5.569
Ce 4.072 -0.516 2.322
Ce 9.446 0.516 4.171
Ce 10.600 -0.516 0.925
Ce 14.119 0.596 0.224
Ce 12.964 -0.596 3.471
Pu 2.802 1.507 3.247
Pu 3.957 -1.507 0.000
Al 7.336 0.628 1.623
Al 6.181 -0.628 4.870
```

Computed properties:
The volume is 25.8 Å³/atom. The total moment comes out at 0.00 μB/f.u. The calculation puts the density of states at the Fermi level at 11.95 states/eV/f.u. Its space group is C2/c, No. 15.

***

Q.
Material: Ce4PuAl
Method: DFT, GGA-PBE
State: relaxed

```
12
Lattice="7.257 0.000 0.000 0.000 6.754 0.000 0.000 0.000 6.827" Properties=species:S:1:pos:R:3 pbc="T T T"
Ce 1.024 1.611 0.000
Ce 1.024 1.765 3.413
Ce 2.035 4.607 1.315
Ce 2.035 5.524 4.728
Ce 5.222 1.230 4.728
Ce 5.222 2.147 1.315
Ce 6.233 4.988 3.413
Ce 6.233 5.142 0.000
Pu 0.000 0.000 5.137
Pu 0.000 3.377 1.723
Al 3.628 0.000 2.396
Al 3.628 3.377 5.810
```

Computed properties:
The volume is 27.9 Å³/atom. The total moment comes out at 0.00 μB/f.u. The calculation puts the density of states at the Fermi level at 12.01 states/eV/f.u. Its space group is Pnc2, No. 30.

***

Relative energy table, unit meV per atom: P 0; Q 155